Sr3P | meta-GGA SCAN | single point on PBEsol structure

The structure in POSCAR format:
```
Sr3P
1.0
-0.684 4.297 0.012
-4.045 1.558 0.374
-0.524 2.088 10.946
Sr P
3 1
direct
0.715 0.715 0.855
0.500 0.500 0.500
0.285 0.285 0.145
0.000 0.000 0.000
```

Computed properties:
The value obtained for the density of states at the Fermi level is 0.69 states/eV/atom. The value obtained for the calculated formation energy is -0.72 eV per atom. For the spin magnetization, the calculation gives 0.13 μB per formula unit. Its distance to the lowest polymorph of the same formula is 0.0 kJ/mol of atoms.